# 1
Compound: SmMgPd
Source: Alexandria
Functional: PBE
Structure: optimized geometry

Cell: 4.1622 7.5345 13.0249 Å, 89.94 90.00 90.00°
Sites, in units of the cell vectors:
Mg  0.7500  0.9969  0.9149
Sm  0.2500  0.9507  0.7129
Pd  0.7500  0.7525  0.5817
Pd  0.2500  0.7504  0.2492
Sm  0.7500  0.6584  0.0835
Mg  0.2500  0.3719  0.2022
Mg  0.7500  0.1358  0.5410
Mg  0.2500  0.8642  0.4590
Mg  0.2500  0.0031  0.0851
Sm  0.7500  0.5397  0.3757
Sm  0.7500  0.0493  0.2871
Mg  0.7500  0.6281  0.7978
Sm  0.2500  0.4603  0.6243
Pd  0.2500  0.7507  0.9171
Pd  0.7500  0.2493  0.0829
Pd  0.2500  0.2475  0.4183
Sm  0.2500  0.3416  0.9165
Pd  0.7500  0.2496  0.7508

**Density**: 6856 kg/m³
**DFT total energy**: -4.49 eV per atom
**Volume**: 408.5 Å³/cell



# 2
Compound: SmMgPd6
Source: Alexandria
Functional: PBE
Structure: optimized geometry

Cell: 4.1068 4.1068 8.0312 Å, 90.00 90.00 90.00°
Sites, in units of the cell vectors:
Pd  0.0000  0.5000  0.7360
Sm  0.0000  0.0000  0.0000
Pd  0.5000  0.0000  0.7360
Mg  0.0000  0.0000  0.5000
Pd  0.5000  0.0000  0.2640
Pd  0.5000  0.5000  0.5000
Pd  0.0000  0.5000  0.2640
Pd  0.5000  0.5000  0.0000

**Density**: 9969 kg/m³
**DFT total energy**: -5.31 eV per atom
**Volume**: 135.4 Å³/cell



# 3
Compound: SmMgPd2
Source: Alexandria
Functional: PBE
Structure: optimized geometry

Cell: 3.3584 4.8630 4.8630 Å, 90.00 90.00 90.00°
Sites, in units of the cell vectors:
Pd  0.0000  0.5000  0.0000
Pd  0.0000  0.0000  0.5000
Mg  0.5000  0.0000  0.0000
Sm  0.5000  0.5000  0.5000

**Density**: 8102 kg/m³
**DFT total energy**: -4.88 eV per atom
**Volume**: 79.4 Å³/cell



# 4
Compound: Sm2MgPd
Source: Alexandria
Functional: PBE
Structure: optimized geometry

Cell: 3.7042 3.7042 7.4885 Å, 90.00 90.00 90.00°
Sites, in units of the cell vectors:
Pd  0.5000  0.5000  0.0000
Sm  0.0000  0.0000  0.2242
Mg  0.5000  0.5000  0.5000
Sm  0.0000  0.0000  0.7758

**Density**: 6973 kg/m³
**DFT total energy**: -4.49 eV per atom
**Volume**: 102.7 Å³/cell